The following is a GGA-PBE calculation of an optimized crystal structure of Pr2NdPaAs4, from the Alexandria database.

Results
For the formation energy, the calculation gives -1080 kJ/mol of formula units. For the final energy, the calculation gives -53.62 eV per formula unit. Its total magnetic moment is 0.01 μB per formula unit.

a b c (Å): 7.332 4.238 7.343
angles (deg): 90.00 109.40 90.00
Space group P2/m (No. 10)
Asymmetric unit:
Pr 0.000 0.000 0.000 [1 per cell]
Pr 0.500 0.500 0.000 [1 per cell]
Nd 0.000 0.500 0.500 [1 per cell]
Pa 0.500 0.000 0.500 [1 per cell]
As 0.257 0.000 0.740 [2 per cell]
As 0.262 0.500 0.263 [2 per cell]